Crystalline Tb2YEr2 at its relaxed geometry, computed with GGA-PBE.

The space group is I4/mmm (No. 139) and the conventional cell measures 5.904, 5.904 and 9.537 Å, with angles of 90.00, 90.00 and 90.00 degrees. The inequivalent atoms are Tb at (0.000, 0.500, 0.250), Y at (0.000, 0.000, 0.000) and Er at (0.000, 0.000, 0.351).

Its distance to the lowest polymorph of the same formula is 2.25 eV per formula unit. Its theoretical density is 7.41 Mg/m³. The value obtained for the formation energy is 2.6 eV/f.u. As for the total energy: -44.422 eV for the cell shown.

Crystalline Tb4YEr2 at its relaxed geometry, computed with GGA-PBE.

The space group is P-1 (No. 2) and the conventional cell measures 3.522, 8.544 and 8.711 Å, with angles of 118.83, 90.06 and 101.86 degrees. The inequivalent atoms are Tb at (0.141, 0.280, 0.332), Tb at (0.204, 0.409, 0.795), Y at (0.500, 0.000, 0.500) and Er at (0.430, 0.860, 0.070).

Its distance to the lowest polymorph of the same formula is 0.00 eV per formula unit. Its theoretical density is 7.88 Mg/m³. The value obtained for the formation energy is 0.3 eV/f.u. As for the total energy: -33.855 eV for the cell shown.